[1]
NdMgBe after structural relaxation. Source: the Open Quantum Materials Database, functional GGA-PBE.

Output
Electronic total energy   -8.22 eV for the cell shown
Magnetic moment   0.0 μB per cell

Unit cell a=4.728 b=4.728 c=4.728 alpha=60.00 beta=60.00 gamma=60.00
Fractional coordinates of all 3 atoms:
Nd 0.750 0.750 0.750
Be 0.250 0.250 0.250
Mg 0.000 0.000 0.000



[2]
MgBeNi2 after structural relaxation. Source: the Open Quantum Materials Database, functional GGA-PBE.

Output
Electronic total energy   -16.61 eV for the cell shown
Magnetic moment   0.0 μB per cell

Unit cell a=4.021 b=4.021 c=4.021 alpha=60.00 beta=60.00 gamma=60.00
Fractional coordinates of all 4 atoms:
Mg 0.250 0.250 0.250
Ni 0.750 0.750 0.750
Ni 0.000 0.000 0.000
Be 0.500 0.500 0.500



[3]
MgBeNiPb after structural relaxation. Source: the Open Quantum Materials Database, functional GGA-PBE.

Output
Excess energy over the best structure of this formula in the dataset   51 meV/atom
Magnetic moment   0.0 μB per cell

Unit cell a=4.527 b=4.527 c=4.527 alpha=60.00 beta=60.00 gamma=60.00
Fractional coordinates of all 4 atoms:
Be 0.750 0.750 0.750
Pb 0.250 0.250 0.250
Ni 0.500 0.500 0.500
Mg 0.000 0.000 0.000